[1]
The following is a DFT calculation (PBE) of a geometry-optimized KTl2Rh structure.

```
4
Lattice="4.455 0.000 0.000 0.000 5.212 0.008 0.000 2.596 6.369" Properties=species:S:1:pos:R:3 pbc="T T T"
K 0.000 4.231 2.895
Rh 2.228 4.234 0.413
Tl 0.000 6.833 5.383
Tl 2.228 1.627 0.883
```

## Properties
DFT formation energy in eV per atom: 0.12
Calculated volume in A^3/atom: 37.0
Symmetry: No. 38



[2]
The following is a DFT calculation (PBE) of a geometry-optimized LuPuCoOs structure.

```
4
Lattice="4.716 0.000 0.000 2.358 4.084 0.000 2.358 1.361 3.850" Properties=species:S:1:pos:R:3 pbc="T T T"
Co 7.074 4.084 2.888
Lu 4.716 2.723 1.925
Os 2.358 1.361 0.963
Pu 0.000 0.000 0.000
```

## Properties
DFT formation energy in eV per atom: -0.15
Calculated volume in A^3/atom: 18.5
Symmetry: No. 216



Electronic total energy (computed, eV for the cell shown): -12.72, -37.79